A crystal of MgAuO2 relaxed with PBEsol, computed with SCAN.

Computed properties:
**Formation energy without anion corrections**: -1.113 eV/atom
**Space-group type**: I-42d (122)
**E_tot**: -91.043 eV/f.u.

abc: 5.096 5.478 5.096
angles: 62.28 90.00 117.72
Site moments in Bohr magnetons follow the coordinates.
Sites, in units of the cell vectors:
Mg1 0.500 0.000 0.500  0.00
Mg2 0.250 0.500 0.250  0.00
O1 0.586 0.750 0.375  0.20
O2 0.164 0.750 0.875  0.20
O3 0.375 0.250 0.164  0.20
O4 0.875 0.250 0.586  0.20
Au1 0.750 0.500 0.750  0.49
Au2 0.000 0.000 0.000  0.49